Model a:
Ac4LaNd5: optimized geometry, PBE-GGA.

Structure (POSCAR):
```
Ac4LaNd5
1.0
8.865 -1.892 0.000
8.865 1.892 0.000
-0.061 0.000 12.181
Ac La Nd
4 1 5
Direct
0.034 0.034 0.249
0.334 0.334 0.251
0.666 0.666 0.749
0.966 0.966 0.751
0.500 0.500 0.500
0.171 0.171 0.037
0.172 0.172 0.461
0.500 0.500 0.000
0.828 0.828 0.539
0.829 0.829 0.963
```

- N(E_F) (states/eV/cell) = 16.2
- mass density (g cm⁻³) = 7.2
- symmetry = No. 12

***

Model b:
Ac4LaNd5: optimized geometry, PBE-GGA.

Structure (POSCAR):
```
Ac4LaNd5
1.0
3.870 0.000 0.000
0.000 3.870 0.000
0.000 0.000 26.190
Ac La Nd
4 1 5
Direct
0.000 0.000 0.101
0.000 0.000 0.303
0.000 0.000 0.697
0.000 0.000 0.899
0.000 0.000 0.500
0.500 0.500 0.000
0.500 0.500 0.202
0.500 0.500 0.405
0.500 0.500 0.595
0.500 0.500 0.798
```

- N(E_F) (states/eV/cell) = 18.3
- mass density (g cm⁻³) = 7.5
- symmetry = No. 123

***

Energies, relative to the best one, in meV per atom: model a 149; model b 0.

***

Model a:
AcLa4Nd5: optimized geometry, PBE-GGA.

Structure (POSCAR):
```
AcLa4Nd5
1.0
10.928 0.000 0.000
0.000 10.928 0.000
0.000 0.000 6.104
Ac La Nd
2 8 10
Direct
0.250 0.250 0.183
0.750 0.750 0.817
0.057 0.750 0.868
0.250 0.557 0.132
0.250 0.943 0.132
0.443 0.750 0.868
0.557 0.250 0.132
0.750 0.057 0.868
0.750 0.443 0.868
0.943 0.250 0.132
0.087 0.087 0.661
0.087 0.413 0.661
0.250 0.750 0.500
0.413 0.087 0.661
0.413 0.413 0.661
0.587 0.587 0.339
0.587 0.913 0.339
0.750 0.250 0.500
0.913 0.587 0.339
0.913 0.913 0.339
```

- N(E_F) (states/eV/cell) = 27.0
- mass density (g cm⁻³) = 6.9
- symmetry = No. 129

***

Model b:
AcLa4Nd5: optimized geometry, PBE-GGA.

Structure (POSCAR):
```
AcLa4Nd5
1.0
8.666 -2.972 0.000
8.666 2.972 0.000
-1.545 0.000 7.193
Ac La Nd
1 4 5
Direct
0.000 0.000 0.000
0.213 0.213 0.853
0.402 0.402 0.694
0.598 0.598 0.306
0.787 0.787 0.147
0.000 0.000 0.500
0.210 0.210 0.359
0.399 0.399 0.205
0.601 0.601 0.795
0.790 0.790 0.641
```

- N(E_F) (states/eV/cell) = 13.5
- mass density (g cm⁻³) = 6.7
- symmetry = No. 12

***

Energies, relative to the best one, in meV per atom: model a 135; model b 0.

***

Model a:
AcLa6Nd3: optimized geometry, PBE-GGA.

Structure (POSCAR):
```
AcLa6Nd3
1.0
6.917 -8.110 0.000
6.917 8.110 0.000
0.000 0.000 6.727
Ac La Nd
2 12 6
Direct
0.158 0.842 0.500
0.842 0.158 0.000
0.044 0.452 0.668
0.064 0.936 0.044
0.256 0.744 0.962
0.303 0.457 0.018
0.452 0.044 0.168
0.457 0.303 0.518
0.543 0.697 0.018
0.548 0.956 0.668
0.697 0.543 0.518
0.744 0.256 0.462
0.936 0.064 0.544
0.956 0.548 0.168
0.158 0.234 0.307
0.234 0.158 0.807
0.383 0.617 0.510
0.617 0.383 0.010
0.766 0.842 0.307
0.842 0.766 0.807
```

- N(E_F) (states/eV/cell) = 29.2
- mass density (g cm⁻³) = 6.6
- symmetry = No. 36

***

Model b:
AcLa6Nd3: optimized geometry, PBE-GGA.

Structure (POSCAR):
```
AcLa6Nd3
1.0
5.135 2.965 4.175
-5.135 2.965 4.175
0.000 -5.929 4.175
Ac La Nd
1 6 3
Direct
0.000 0.000 0.000
0.001 0.339 0.670
0.181 0.827 0.501
0.339 0.670 0.001
0.501 0.181 0.827
0.670 0.001 0.339
0.827 0.501 0.181
0.259 0.259 0.259
0.500 0.500 0.500
0.743 0.743 0.743
```

- N(E_F) (states/eV/cell) = 19.5
- mass density (g cm⁻³) = 6.5
- symmetry = No. 146

***

Energies, relative to the best one, in meV per atom: model a 0; model b 47.

***

Model a:
Ac3La3Nd2: optimized geometry, PBE-GGA.

Structure (POSCAR):
```
Ac3La3Nd2
1.0
2.766 -5.928 0.000
2.766 5.928 0.000
0.000 0.000 19.289
Ac La Nd
6 6 4
Direct
0.067 0.933 0.750
0.153 0.847 0.538
0.153 0.847 0.962
0.847 0.153 0.038
0.847 0.153 0.462
0.933 0.067 0.250
0.373 0.627 0.750
0.451 0.549 0.587
0.451 0.549 0.913
0.549 0.451 0.087
0.549 0.451 0.413
0.627 0.373 0.250
0.244 0.756 0.156
0.244 0.756 0.344
0.756 0.244 0.656
0.756 0.244 0.844
```

- N(E_F) (states/eV/cell) = 24.7
- mass density (g cm⁻³) = 7.3
- symmetry = No. 63

***

Model b:
Ac3La3Nd2: optimized geometry, PBE-GGA.

Structure (POSCAR):
```
Ac3La3Nd2
1.0
5.383 0.000 0.000
0.000 5.427 0.000
0.000 0.000 21.548
Ac La Nd
6 6 4
Direct
0.000 0.000 0.000
0.000 0.500 0.128
0.000 0.500 0.872
0.500 0.000 0.372
0.500 0.000 0.628
0.500 0.500 0.500
0.000 0.000 0.500
0.000 0.500 0.371
0.000 0.500 0.629
0.500 0.000 0.129
0.500 0.000 0.871
0.500 0.500 0.000
0.000 0.000 0.250
0.000 0.000 0.750
0.500 0.500 0.250
0.500 0.500 0.750
```

- N(E_F) (states/eV/cell) = 28.6
- mass density (g cm⁻³) = 7.3
- symmetry = No. 71

***

Energies, relative to the best one, in meV per atom: model a 62; model b 0.

***

Model a:
Ac4LaNd: optimized geometry, PBE-GGA.

Structure (POSCAR):
```
Ac4LaNd
1.0
12.119 0.000 0.000
0.000 6.445 0.000
-0.016 0.000 6.481
Ac La Nd
8 2 2
Direct
0.160 0.000 0.475
0.161 0.500 0.023
0.339 0.000 0.977
0.340 0.500 0.525
0.660 0.500 0.475
0.661 0.000 0.023
0.839 0.500 0.977
0.840 0.000 0.525
0.000 0.500 0.500
0.500 0.000 0.500
0.000 0.000 0.000
0.500 0.500 0.000
```

- N(E_F) (states/eV/cell) = 25.0
- mass density (g cm⁻³) = 7.8
- symmetry = No. 12

***

Model b:
Ac4LaNd: optimized geometry, PBE-GGA.

Structure (POSCAR):
```
Ac4LaNd
1.0
0.000 5.096 5.096
5.096 0.000 5.096
5.096 5.096 0.000
Ac La Nd
4 1 1
Direct
0.125 0.125 0.125
0.125 0.125 0.624
0.125 0.624 0.125
0.624 0.125 0.125
0.750 0.750 0.750
0.500 0.500 0.500
```

- N(E_F) (states/eV/cell) = 8.6
- mass density (g cm⁻³) = 7.5
- symmetry = No. 216

***

Model c:
Ac4LaNd: optimized geometry, PBE-GGA.

Structure (POSCAR):
```
Ac4LaNd
1.0
-3.184 12.098 3.299
3.184 -12.098 3.299
3.184 12.098 -3.299
Ac La Nd
8 2 2
Direct
0.107 0.437 0.670
0.123 0.041 0.082
0.267 0.437 0.830
0.460 0.041 0.418
0.540 0.959 0.582
0.733 0.563 0.170
0.877 0.959 0.918
0.893 0.563 0.330
0.330 0.080 0.250
0.670 0.920 0.750
0.000 0.500 0.500
0.500 0.500 0.000
```

- N(E_F) (states/eV/cell) = 20.7
- mass density (g cm⁻³) = 7.8
- symmetry = No. 74

***

Energies, relative to the best one, in meV per atom: model a 35; model b 224; model c 0.

***

Model a:
AcLa3Nd2: optimized geometry, PBE-GGA.

Structure (POSCAR):
```
AcLa3Nd2
1.0
3.583 0.000 0.000
0.000 6.320 0.000
0.000 0.000 20.101
Ac La Nd
2 6 4
Direct
0.000 0.000 0.000
0.500 0.500 0.500
0.000 0.000 0.191
0.000 0.000 0.809
0.000 0.500 0.000
0.500 0.000 0.500
0.500 0.500 0.309
0.500 0.500 0.691
0.000 0.000 0.363
0.000 0.000 0.637
0.500 0.500 0.137
0.500 0.500 0.863
```

- N(E_F) (states/eV/cell) = 20.8
- mass density (g cm⁻³) = 6.8
- symmetry = No. 71

***

Model b:
AcLa3Nd2: optimized geometry, PBE-GGA.

Structure (POSCAR):
```
AcLa3Nd2
1.0
5.314 -3.766 0.000
5.314 3.766 0.000
-5.301 0.000 11.294
Ac La Nd
2 6 4
Direct
0.125 0.875 0.750
0.875 0.125 0.250
0.210 0.461 0.920
0.375 0.625 0.250
0.461 0.210 0.420
0.539 0.790 0.580
0.625 0.375 0.750
0.790 0.539 0.080
0.042 0.292 0.583
0.292 0.042 0.083
0.708 0.958 0.917
0.958 0.708 0.417
```

- N(E_F) (states/eV/cell) = 25.3
- mass density (g cm⁻³) = 6.8
- symmetry = No. 15

***

Energies, relative to the best one, in meV per atom: model a 265; model b 0.

***

Model a:
AcLa6Nd2: optimized geometry, PBE-GGA.

Structure (POSCAR):
```
AcLa6Nd2
1.0
10.289 0.000 0.000
-5.144 8.910 0.000
0.000 0.000 3.704
Ac La Nd
1 6 2
Direct
0.000 0.000 0.000
0.000 0.357 0.000
0.000 0.680 0.500
0.320 0.320 0.500
0.357 0.000 0.000
0.643 0.643 0.000
0.680 0.000 0.500
0.333 0.667 0.500
0.667 0.333 0.500
```

- N(E_F) (states/eV/cell) = 15.9
- mass density (g cm⁻³) = 6.6
- symmetry = No. 189

***

Model b:
AcLa6Nd2: optimized geometry, PBE-GGA.

Structure (POSCAR):
```
AcLa6Nd2
1.0
4.861 -9.218 0.000
4.861 9.218 0.000
0.000 0.000 3.753
Ac La Nd
1 6 2
Direct
0.000 0.000 0.000
0.164 0.490 0.000
0.329 0.329 0.500
0.490 0.164 0.000
0.510 0.836 0.000
0.671 0.671 0.500
0.836 0.510 0.000
0.184 0.816 0.500
0.816 0.184 0.500
```

- N(E_F) (states/eV/cell) = 15.1
- mass density (g cm⁻³) = 6.7
- symmetry = No. 65

***

Energies, relative to the best one, in meV per atom: model a 0; model b 69.

***

Model a:
Ac3LaNd6: optimized geometry, PBE-GGA.

Structure (POSCAR):
```
Ac3LaNd6
1.0
6.802 0.000 0.000
-3.401 5.890 0.000
0.000 0.000 9.512
Ac La Nd
3 1 6
Direct
0.000 0.000 0.000
0.333 0.667 0.000
0.667 0.333 0.000
0.000 0.000 0.500
0.000 0.403 0.320
0.000 0.597 0.680
0.403 0.000 0.320
0.403 0.403 0.680
0.597 0.000 0.680
0.597 0.597 0.320
```

- N(E_F) (states/eV/cell) = 14.3
- mass density (g cm⁻³) = 7.3
- symmetry = No. 162

***

Model b:
Ac3LaNd6: optimized geometry, PBE-GGA.

Structure (POSCAR):
```
Ac3LaNd6
1.0
5.134 2.964 4.320
-5.134 2.964 4.320
0.000 -5.929 4.320
Ac La Nd
3 1 6
Direct
0.000 0.000 0.000
0.260 0.260 0.260
0.740 0.740 0.740
0.500 0.500 0.500
0.093 0.427 0.756
0.244 0.907 0.573
0.427 0.756 0.093
0.573 0.244 0.907
0.756 0.093 0.427
0.907 0.573 0.244
```

- N(E_F) (states/eV/cell) = 24.8
- mass density (g cm⁻³) = 7.1
- symmetry = No. 148

***

Energies, relative to the best one, in meV per atom: model a 0; model b 202.

***

Model a:
AcLa2Nd4: optimized geometry, PBE-GGA.

Structure (POSCAR):
```
AcLa2Nd4
1.0
4.717 0.000 0.000
0.000 4.717 0.000
0.000 0.000 24.101
Ac La Nd
2 4 8
Direct
0.000 0.000 0.000
0.500 0.500 0.500
0.000 0.000 0.395
0.000 0.000 0.605
0.500 0.500 0.105
0.500 0.500 0.895
0.000 0.000 0.142
0.000 0.000 0.858
0.000 0.500 0.250
0.000 0.500 0.750
0.500 0.000 0.250
0.500 0.000 0.750
0.500 0.500 0.358
0.500 0.500 0.642
```

- N(E_F) (states/eV/cell) = 21.3
- mass density (g cm⁻³) = 6.7
- symmetry = No. 139

***

Model b:
AcLa2Nd4: optimized geometry, PBE-GGA.

Structure (POSCAR):
```
AcLa2Nd4
1.0
7.138 0.000 0.000
1.974 6.968 0.000
0.000 0.004 10.914
Ac La Nd
2 4 8
Direct
0.000 0.000 0.000
0.000 0.500 0.000
0.000 0.000 0.500
0.500 0.000 0.000
0.500 0.000 0.500
0.500 0.500 0.500
0.184 0.273 0.289
0.185 0.272 0.712
0.317 0.734 0.226
0.318 0.732 0.775
0.682 0.268 0.225
0.683 0.266 0.774
0.815 0.728 0.288
0.816 0.727 0.711
```

- N(E_F) (states/eV/cell) = 22.4
- mass density (g cm⁻³) = 6.6
- symmetry = No. 2

***

Energies, relative to the best one, in meV per atom: model a 0; model b 13.

***

Model a:
Ac3La4Nd4: optimized geometry, PBE-GGA.

Structure (POSCAR):
```
Ac3La4Nd4
1.0
3.753 0.000 0.000
0.000 5.964 0.000
1.867 2.980 18.896
Ac La Nd
3 4 4
Direct
0.000 0.000 0.000
0.137 0.638 0.725
0.863 0.362 0.275
0.319 0.818 0.363
0.454 0.455 0.093
0.546 0.545 0.907
0.681 0.182 0.637
0.265 0.265 0.470
0.409 0.909 0.183
0.591 0.091 0.817
0.735 0.735 0.530
```

- N(E_F) (states/eV/cell) = 16.4
- mass density (g cm⁻³) = 7.1
- symmetry = No. 2

***

Model b:
Ac3La4Nd4: optimized geometry, PBE-GGA.

Structure (POSCAR):
```
Ac3La4Nd4
1.0
11.390 0.000 0.000
0.000 3.028 6.226
0.000 -3.028 6.226
Ac La Nd
3 4 4
Direct
0.000 0.000 0.000
0.315 0.136 0.136
0.685 0.136 0.136
0.000 0.298 0.298
0.280 0.830 0.830
0.500 0.386 0.386
0.720 0.830 0.830
0.000 0.696 0.696
0.217 0.499 0.499
0.500 0.662 0.662
0.783 0.499 0.499
```

- N(E_F) (states/eV/cell) = 19.5
- mass density (g cm⁻³) = 7.0
- symmetry = No. 38

***

Energies, relative to the best one, in meV per atom: model a 0; model b 96.